Record 1
The following is a PBEsol calculation of an optimized crystal structure of BeW, from Alexandria via LeMat-Bulk.

```
BeW
1.0
0.0000 2.9559 2.9559
2.9559 0.0000 2.9559
2.9559 2.9559 0.0000
Be W
2 2
direct
0.1250 0.1250 0.1250 Be
0.8750 0.8750 0.8750 Be
0.3750 0.3750 0.3750 W
0.6250 0.6250 0.6250 W
```

Formation energy from the elements, eV/atom: 0.398
SG: Fd-3m, No. 227
Distance to the lowest polymorph of the same formula, meV per atom: 600


Record 2
The following is a PBEsol calculation of an optimized crystal structure of LiAl2Se, from Alexandria via LeMat-Bulk.

```
LiAl2Se
1.0
3.5183 0.0000 0.0000
0.0000 5.0746 0.0000
-0.1518 0.0000 4.1152
Li Al Se
1 2 1
direct
0.0000 0.0000 0.0000 Li
0.2613 0.5000 0.7429 Al
0.7387 0.5000 0.2571 Al
0.5000 0.0000 0.5000 Se
```

SG: P2/m, No. 10


Record 3
The following is a PBEsol calculation of an optimized crystal structure of InIN2O, from Alexandria via LeMat-Bulk.

```
InIN2O
1.0
4.2393 0.0000 0.0000
0.0000 4.2393 0.0000
0.0000 0.0000 4.0241
In I N O
1 1 2 1
direct
0.0000 0.0000 0.0000 In
0.5000 0.5000 0.5000 I
0.0000 0.5000 0.0000 N
0.5000 0.0000 0.0000 N
0.0000 0.0000 0.5000 O
```

SG: P4/mmm, No. 123


Record 4
The following is a PBEsol calculation of an optimized crystal structure of DyZr6P9O36, from Alexandria via LeMat-Bulk.

```
DyZr6P9O36
1.0
8.8886 0.0000 0.0000
-4.4443 7.6978 0.0000
0.0000 0.0000 22.4627
Dy Zr P O
2 12 18 72
direct
0.0000 0.0000 0.0000 Dy
0.0000 0.0000 0.5000 Dy
0.0000 0.0000 0.1479 Zr
0.0000 0.0000 0.3521 Zr
0.0000 0.0000 0.6479 Zr
0.0000 0.0000 0.8521 Zr
0.3333 0.6667 0.0324 Zr
0.3333 0.6667 0.3119 Zr
0.3333 0.6667 0.5324 Zr
0.3333 0.6667 0.8119 Zr
0.6667 0.3333 0.1881 Zr
0.6667 0.3333 0.4676 Zr
0.6667 0.3333 0.6881 Zr
0.6667 0.3333 0.9676 Zr
0.0000 0.2913 0.2500 P
0.0000 0.7087 0.7500 P
0.0555 0.3751 0.9218 P
0.0555 0.6804 0.4218 P
0.2913 0.0000 0.2500 P
0.2913 0.2913 0.7500 P
0.3196 0.3751 0.4218 P
0.3196 0.9445 0.9218 P
0.3751 0.0555 0.5782 P
0.3751 0.3196 0.0782 P
0.6249 0.6804 0.9218 P
0.6249 0.9445 0.4218 P
0.6804 0.0555 0.0782 P
0.6804 0.6249 0.5782 P
0.7087 0.0000 0.7500 P
0.7087 0.7087 0.2500 P
0.9445 0.3196 0.5782 P
0.9445 0.6249 0.0782 P
0.0266 0.1840 0.9235 O
0.0266 0.8426 0.4235 O
0.0286 0.2022 0.1950 O
0.0286 0.8264 0.6950 O
0.1239 0.4837 0.5794 O
0.1239 0.6402 0.0794 O
0.1558 0.4659 0.8657 O
0.1558 0.6899 0.3657 O
0.1574 0.1840 0.4235 O
0.1568 0.4635 0.9784 O
0.1568 0.6933 0.4784 O
0.1574 0.9734 0.9235 O
0.1600 0.4683 0.2590 O
0.1600 0.6917 0.7590 O
0.1736 0.2022 0.6950 O
0.1736 0.9714 0.1950 O
0.1840 0.0266 0.5765 O
0.1840 0.1574 0.0765 O
0.2022 0.0286 0.3050 O
0.2022 0.1736 0.8050 O
0.3067 0.4635 0.4784 O
0.3067 0.8432 0.9784 O
0.3083 0.4683 0.7590 O
0.3083 0.8400 0.2590 O
0.3101 0.4659 0.3657 O
0.3101 0.8442 0.8657 O
0.3598 0.4837 0.0794 O
0.3598 0.8761 0.5794 O
0.4635 0.1568 0.5216 O
0.4635 0.3067 0.0216 O
0.4659 0.1558 0.6343 O
0.4659 0.3101 0.1343 O
0.4683 0.1600 0.2410 O
0.4683 0.3083 0.7410 O
0.4837 0.1239 0.9206 O
0.4837 0.3598 0.4206 O
0.5163 0.6402 0.5794 O
0.5163 0.8761 0.0794 O
0.5317 0.6917 0.2590 O
0.5317 0.8400 0.7590 O
0.5341 0.6899 0.8657 O
0.5341 0.8442 0.3657 O
0.5365 0.6933 0.9784 O
0.5365 0.8432 0.4784 O
0.6402 0.1239 0.4206 O
0.6402 0.5163 0.9206 O
0.6899 0.1558 0.1343 O
0.6899 0.5341 0.6343 O
0.6917 0.1600 0.7410 O
0.6917 0.5317 0.2410 O
0.6933 0.1568 0.0216 O
0.6933 0.5365 0.5216 O
0.7978 0.8264 0.1950 O
0.7978 0.9714 0.6950 O
0.8160 0.8426 0.9235 O
0.8160 0.9734 0.4235 O
0.8264 0.0286 0.8050 O
0.8264 0.7978 0.3050 O
0.8400 0.3083 0.2410 O
0.8400 0.5317 0.7410 O
0.8426 0.0266 0.0765 O
0.8432 0.3067 0.5216 O
0.8432 0.5365 0.0216 O
0.8426 0.8160 0.5765 O
0.8442 0.3101 0.6343 O
0.8442 0.5341 0.1343 O
0.8761 0.3598 0.9206 O
0.8761 0.5163 0.4206 O
0.9714 0.1736 0.3050 O
0.9714 0.7978 0.8050 O
0.9734 0.1574 0.5765 O
0.9734 0.8160 0.0765 O
```

SG: P-3c1, No. 165


Record 5
The following is a PBEsol calculation of an optimized crystal structure of YSe4, from Alexandria via LeMat-Bulk.

```
YSe4
1.0
-2.7449 2.7449 4.3034
2.7449 -2.7449 4.3034
2.7449 2.7449 -4.3034
Y Se
1 4
direct
0.0000 0.0000 0.0000 Y
0.2500 0.7500 0.5000 Se
0.3095 0.3095 0.0000 Se
0.6905 0.6905 0.0000 Se
0.7500 0.2500 0.5000 Se
```

SG: I4/mmm, No. 139


Record 6
The following is a PBEsol calculation of an optimized crystal structure of BaHfMg2Cd, from Alexandria via LeMat-Bulk.

```
BaHfMg2Cd
1.0
5.2224 0.0000 0.0000
0.0000 5.2224 0.0000
0.0000 0.0000 5.5505
Ba Hf Mg Cd
1 1 2 1
direct
0.0000 0.0000 0.0000 Ba
0.5000 0.5000 0.0000 Hf
0.0000 0.5000 0.5000 Mg
0.5000 0.0000 0.5000 Mg
0.5000 0.5000 0.5000 Cd
```

Formation energy from the elements, eV/atom: 0.471
SG: P4/mmm, No. 123


no.,Fermi-level density of states (states/eV per cell),final energy (eV/f.u.)
1,1.62,-17.01
2,1.19,-14.95
3,4.31,-20.54
4,0.00,-446.42
5,2.06,-24.19
6,5.65,-14.93